CsUZn2Br8 | GGA-PBE | optimized geometry

Computed properties:
Crystal system: trigonal
ΔE_f (raw) (eV/atom): -1.15
VASP energy (eV per cell): -41.92

Geometry as CIF:
```
data_CsUZn2Br8
_chemical_formula_sum 'Cs1 U1 Zn2 Br8'
_symmetry_space_group_name_H-M 'P 1'
_symmetry_Int_Tables_number 1
_cell_length_a 11.397
_cell_length_b 11.397
_cell_length_c 11.397
_cell_angle_alpha 35.61
_cell_angle_beta 35.61
_cell_angle_gamma 35.61
loop_
_symmetry_equiv_pos_as_xyz
'x,y,z'
loop_
_atom_site_label
_atom_site_fract_x
_atom_site_fract_y
_atom_site_fract_z
_atom_site_occupancy
Cs1 0.000 0.000 0.000 1
U1 0.500 0.500 0.500 1
Zn1 0.248 0.248 0.248 1
Zn2 0.752 0.752 0.752 1
Br1 0.110 0.442 0.787 1
Br2 0.213 0.890 0.558 1
Br3 0.321 0.321 0.321 1
Br4 0.442 0.787 0.110 1
Br5 0.558 0.213 0.890 1
Br6 0.679 0.679 0.679 1
Br7 0.787 0.110 0.442 1
Br8 0.890 0.558 0.213 1
```